An optimized crystal structure of Mg2VF. Source: the Alexandria database, functional PBE+U.

Lattice parameters (Å, degrees): 6.6221 6.6221 7.0110 90.00 90.00 90.00
With the nearest neighbours (Å) after each atom.
Space group I-42d (No. 122)
Asymmetric unit:
Mg 0.1458 0.2500 0.1250 (multiplicity 8)  2 F 2.11
V 0.0000 0.0000 0.5000 (multiplicity 4)  8 Mg 3.00-3.25
F 0.0000 0.0000 0.0000 (multiplicity 4)  4 Mg 2.11

- volume (Å³ per cell) = 307.45
- distance to the lowest polymorph of the same formula (eV/atom) = 0.000
- DFT total energy (eV per atom) = -3.589